The following is a DFT calculation (PBE) of a relaxed Ca5H4N crystal.

Output
SG = I4/m, No. 87
Raw total energy = -3.6423 eV/atom
Crystal system = tetragonal

POSCAR file:
```
Ca5H4N
1.0
-4.432 4.432 2.332
4.432 -4.432 2.332
4.432 4.432 -2.332
Ca H N
5 4 1
direct
0.000 0.000 0.000 Ca
0.232 0.580 0.812 Ca
0.420 0.232 0.652 Ca
0.580 0.768 0.348 Ca
0.768 0.420 0.188 Ca
0.163 0.211 0.374 H
0.211 0.837 0.048 H
0.789 0.163 0.952 H
0.837 0.789 0.626 H
0.500 0.500 0.000 N
```



The following is a DFT calculation (PBE) of a relaxed Mg2Sc3Pd3 crystal.

Output
SG = Immm, No. 71
Energy relative to the lowest polymorph listed for this composition = 39.5 meV/atom
Raw total energy = -5.3763 eV/atom
Formation enthalpy at 0 K = -0.66 eV/atom
Crystal system = orthorhombic

POSCAR file:
```
Mg2Sc3Pd3
1.0
-1.629 2.384 9.879
1.629 -2.384 9.879
1.629 2.384 -9.879
Mg Sc Pd
2 3 3
direct
0.229 0.229 0.000 Mg
0.771 0.771 0.000 Mg
0.000 0.000 0.000 Sc
0.382 0.882 0.500 Sc
0.618 0.118 0.500 Sc
0.115 0.615 0.500 Pd
0.500 0.500 0.000 Pd
0.885 0.385 0.500 Pd
```



The following is a DFT calculation (PBE) of a relaxed PrMgTi2O6 crystal.

Output
SG = Pmn2_1, No. 31
ΔE_f (raw) = -2.99 eV per atom
Raw total energy = -8.1861 eV/atom
Crystal system = orthorhombic

POSCAR file:
```
PrMgTi2O6
1.0
7.698 0.000 0.000
0.000 5.540 0.000
0.000 0.000 5.356
Pr Mg Ti O
2 2 4 12
direct
0.000 0.199 0.000 Pr
0.500 0.801 0.500 Pr
0.000 0.699 0.471 Mg
0.500 0.301 0.971 Mg
0.249 0.744 0.991 Ti
0.251 0.256 0.491 Ti
0.749 0.256 0.491 Ti
0.751 0.744 0.991 Ti
0.000 0.295 0.570 O
0.000 0.772 0.861 O
0.192 0.943 0.302 O
0.197 0.468 0.205 O
0.303 0.532 0.705 O
0.308 0.057 0.802 O
0.500 0.228 0.361 O
0.500 0.705 0.070 O
0.692 0.057 0.802 O
0.697 0.532 0.705 O
0.803 0.468 0.205 O
0.808 0.943 0.302 O
```